Entry 1:
Density functional theory data (PBE-GGA) for crystalline BaMg6Tl2 at its relaxed geometry.

Results
V = 247.6 Å³/cell
energy = -1.937 eV/atom
space group = P4/mmm
DOS(E_F) = 0.5638 states/eV/atom

a b c (Å): 4.8015 4.8015 10.7380
angles (deg): 90.00 90.00 90.00
Element x y z (fractional)
1 Ba 0.0000 0.0000 0.0000
2 Mg 0.0000 0.0000 0.5000
3 Mg 0.0000 0.5000 0.3091
4 Mg 0.0000 0.5000 0.6909
5 Mg 0.5000 0.0000 0.3091
6 Mg 0.5000 0.0000 0.6909
7 Mg 0.5000 0.5000 0.5000
8 Tl 0.5000 0.5000 0.1453
9 Tl 0.5000 0.5000 0.8547

---

Entry 2:
Density functional theory data (PBE-GGA) for crystalline BaMg3Tl9 at its relaxed geometry.

Results
V = 381.9 Å³/cell
energy = -2.256 eV/atom
space group = C2/m
DOS(E_F) = 0.4944 states/eV/atom

a b c (Å): 8.4454 8.4454 8.3144
angles (deg): 97.46 97.46 136.55
Element x y z (fractional)
1 Ba 0.0000 0.0000 0.0000
2 Mg 0.0000 0.5000 0.0000
3 Mg 0.5000 0.0000 0.0000
4 Mg 0.5000 0.5000 0.5000
5 Tl 0.0000 0.0000 0.5000
6 Tl 0.0043 0.6466 0.6504
7 Tl 0.2947 0.5129 0.7893
8 Tl 0.3534 0.9957 0.3496
9 Tl 0.4871 0.7053 0.2107
10 Tl 0.5129 0.2947 0.7893
11 Tl 0.6466 0.0043 0.6504
12 Tl 0.7053 0.4871 0.2107
13 Tl 0.9957 0.3534 0.3496

---

Entry 3:
Density functional theory data (PBE-GGA) for crystalline BaMg4Tl at its relaxed geometry.

Results
V = 354.2 Å³/cell
energy = -1.870 eV/atom
space group = Pmma
DOS(E_F) = 0.5913 states/eV/atom

a b c (Å): 8.8019 4.8189 8.3500
angles (deg): 90.00 90.00 90.00
Element x y z (fractional)
1 Ba 0.2500 0.0000 0.1240
2 Ba 0.7500 0.0000 0.8760
3 Mg 0.0000 0.0000 0.5000
4 Mg 0.0545 0.5000 0.7948
5 Mg 0.2500 0.5000 0.4533
6 Mg 0.4455 0.5000 0.7948
7 Mg 0.5000 0.0000 0.5000
8 Mg 0.5545 0.5000 0.2052
9 Mg 0.7500 0.5000 0.5467
10 Mg 0.9455 0.5000 0.2052
11 Tl 0.2500 0.0000 0.7151
12 Tl 0.7500 0.0000 0.2849